Record 1
RbTcB2 | GGA-PBEsol | relaxed

abc: 6.4039 6.4039 6.4039
angles: 60.00 60.00 60.00
Closest atoms and distances in Å follow each position.
Positions (direct):
Rb: 0.1250 0.1250 0.1250  12 B 3.75, 4 Rb 3.92, 4 Tc 3.92
Rb: 0.8750 0.8750 0.8750  12 B 3.75, 4 Rb 3.92, 4 Tc 3.92
Tc: 0.3750 0.3750 0.3750  4 B 1.96
Tc: 0.6250 0.6250 0.6250  4 B 1.96
B: 0.0000 0.5000 0.5000  2 Tc 1.96
B: 0.5000 0.0000 0.5000  2 Tc 1.96
B: 0.5000 0.5000 0.0000  2 Tc 1.96
B: 0.5000 0.5000 0.5000  2 Tc 1.96

Properties
Size of the total moment   0.000 μB/f.u.
DOS at the Fermi energy   1.0 states/eV/f.u.
Total energy   -5.895 eV per atom
Volume   185.7 Å³/cell
Space group   Fd-3m, No. 227
Calculated density   3.668 g/cm3

***

Record 2
KTaAlCl2 | GGA-PBEsol | relaxed

abc: 4.8963 4.8963 7.0602
angles: 90.00 90.00 90.00
Closest atoms and distances in Å follow each position.
Positions (direct):
K: 0.0000 0.0000 0.0000  4 Ta 3.46, 2 Al 3.53
Ta: 0.5000 0.5000 0.0000  4 K 3.46
Al: 0.0000 0.0000 0.5000  4 Cl 2.45
Cl: 0.0000 0.5000 0.5000  2 Al 2.45
Cl: 0.5000 0.0000 0.5000  2 Al 2.45

Properties
Size of the total moment   3.602 μB/f.u.
DOS at the Fermi energy   9.3 states/eV/f.u.
Total energy   -3.346 eV per atom
Volume   169.3 Å³/cell
Space group   P4/mmm, No. 123
E_form (uncorrected)   5.1 eV/f.u.
Calculated density   3.119 g/cm3

***

Record 3
BeHgIN2 | GGA-PBEsol | relaxed

abc: 4.0701 4.0701 7.1539
angles: 90.00 90.00 90.00
Closest atoms and distances in Å follow each position.
Positions (direct):
Be: 0.0000 0.0000 0.0000  4 I 2.88
Hg: 0.5000 0.5000 0.5000  4 N 2.04
I: 0.5000 0.5000 0.0000  4 Be 2.88
N: 0.0000 0.5000 0.5000  2 Hg 2.04
N: 0.5000 0.0000 0.5000  2 Hg 2.04

Properties
Size of the total moment   2.749 μB/f.u.
DOS at the Fermi energy   3.1 states/eV/f.u.
Total energy   -2.662 eV per atom
Volume   118.5 Å³/cell
Space group   P4/mmm, No. 123
E_form (uncorrected)   10.1 eV/f.u.
Calculated density   5.108 g/cm3

***

Q: Among the records above, which one has the lowest total energy?
A: RbTcB2

***

Please write out number 1 again, unchanged.
RbTcB2 | GGA-PBEsol | relaxed

abc: 6.4039 6.4039 6.4039
angles: 60.00 60.00 60.00
Closest atoms and distances in Å follow each position.
Positions (direct):
Rb: 0.1250 0.1250 0.1250  12 B 3.75, 4 Rb 3.92, 4 Tc 3.92
Rb: 0.8750 0.8750 0.8750  12 B 3.75, 4 Rb 3.92, 4 Tc 3.92
Tc: 0.3750 0.3750 0.3750  4 B 1.96
Tc: 0.6250 0.6250 0.6250  4 B 1.96
B: 0.0000 0.5000 0.5000  2 Tc 1.96
B: 0.5000 0.0000 0.5000  2 Tc 1.96
B: 0.5000 0.5000 0.0000  2 Tc 1.96
B: 0.5000 0.5000 0.5000  2 Tc 1.96

Properties
Size of the total moment   0.000 μB/f.u.
DOS at the Fermi energy   1.0 states/eV/f.u.
Total energy   -5.895 eV per atom
Volume   185.7 Å³/cell
Space group   Fd-3m, No. 227
Calculated density   3.668 g/cm3